Record 1
Material: Ba2RhAuO6
Method: DFT, PBE
State: optimized geometry

a b c (Å): 5.313 5.542 6.312
angles (deg): 116.04 108.25 90.00
Sites, in units of the cell vectors:
1 O 0.751 0.325 0.649
2 Ba 0.218 0.234 0.468
3 O 0.197 0.689 0.871
4 O 0.197 0.182 0.871
5 O 0.803 0.311 0.129
6 Rh 0.000 0.500 0.000
7 O 0.249 0.675 0.351
8 Ba 0.782 0.766 0.532
9 O 0.803 0.818 0.129
10 Au 0.500 0.000 0.000

Summary:
* volume: 156.5 Å³/f.u.
* energy relative to the elements, uncorrected: -1.35 eV/atom
* VASP energy: -57.7 eV/cell
* magnetic moment: 2.02 μB/cell



Record 2
Material: KBa2Cl
Method: DFT, PBE
State: optimized geometry

a b c (Å): 8.528 8.528 8.528
angles (deg): 144.17 144.17 51.57
Sites, in units of the cell vectors:
1 Ba 0.250 0.750 0.500
2 K 0.750 0.250 0.500
3 Ba 0.000 0.000 0.000
4 Cl 0.500 0.500 0.000

Summary:
* volume: 211.4 Å³/f.u.
* energy relative to the elements, uncorrected: -0.45 eV/atom
* energy above the most stable polymorph in this dataset: 383 meV per atom
* VASP energy: -8.6 eV/cell
* magnetic moment: 0.00 μB/cell



Record 3
Material: Tc2HgSb
Method: DFT, PBE
State: optimized geometry

a b c (Å): 3.044 3.044 8.893
angles (deg): 90.00 90.00 116.38
Sites, in units of the cell vectors:
1 Tc 0.000 0.000 0.517
2 Hg 0.500 0.500 0.250
3 Tc 0.000 0.000 0.983
4 Sb 0.500 0.500 0.750

Summary:
* volume: 73.8 Å³/f.u.
* energy relative to the elements, uncorrected: 0.70 eV/atom
* energy above the most stable polymorph in this dataset: 516 meV per atom
* VASP energy: -22.4 eV/cell
* magnetic moment: 0.00 μB/cell



Record 4
Material: PmNdY2
Method: DFT, PBE
State: optimized geometry

a b c (Å): 3.678 6.865 6.865
angles (deg): 55.19 74.46 74.46
Sites, in units of the cell vectors:
1 Y 0.000 0.084 0.917
2 Pm 0.250 0.166 0.334
3 Nd 0.750 0.667 0.833
4 Y 0.500 0.583 0.416

Summary:
* volume: 135.6 Å³/f.u.
* energy above the most stable polymorph in this dataset: 17 meV per atom
* VASP energy: -22.3 eV/cell
* magnetic moment: 0.00 μB/cell



Record 5
Material: DyNpPaO6
Method: DFT, PBE
State: optimized geometry

a b c (Å): 5.757 5.757 9.496
angles (deg): 90.00 90.00 120.00
Sites, in units of the cell vectors:
1 Np 0.333 0.667 0.750
2 O 0.681 0.672 0.128
3 Np 0.667 0.333 0.250
4 O 0.328 0.319 0.372
5 Pa 0.000 0.000 0.000
6 O 0.992 0.319 0.128
7 O 0.319 0.328 0.872
8 Dy 0.667 0.333 0.750
9 O 0.008 0.328 0.628
10 Dy 0.333 0.667 0.250
11 O 0.328 0.008 0.128
12 O 0.681 0.008 0.372
13 O 0.992 0.672 0.372
14 O 0.319 0.992 0.628
15 Pa 0.000 0.000 0.500
16 O 0.672 0.681 0.628
17 O 0.008 0.681 0.872
18 O 0.672 0.992 0.872

Summary:
* volume: 136.3 Å³/f.u.
* energy relative to the elements, uncorrected: -3.29 eV/atom
* VASP energy: -172.8 eV/cell
* magnetic moment: 6.00 μB/cell



Record 6
Material: TaGaPbW2
Method: DFT, PBE
State: optimized geometry

a b c (Å): 4.668 4.779 4.668
angles (deg): 90.00 90.00 90.00
Sites, in units of the cell vectors:
1 W 0.500 0.000 0.000
2 W 0.000 0.000 0.500
3 Ga 0.000 0.000 0.000
4 Ta 0.000 0.500 0.000
5 Pb 0.500 0.500 0.500

Summary:
* volume: 104.2 Å³/f.u.
* VASP energy: -36.4 eV/cell
* magnetic moment: 0.00 μB/cell



Record 7
Material: YBi3B
Method: DFT, PBE
State: optimized geometry

a b c (Å): 5.127 5.127 5.127
angles (deg): 90.00 90.00 90.00
Sites, in units of the cell vectors:
1 Bi 0.000 0.500 0.000
2 Bi 0.000 0.000 0.500
3 Bi 0.500 0.000 0.000
4 Y 0.500 0.500 0.500
5 B 0.000 0.000 0.000

Summary:
* volume: 134.7 Å³/f.u.
* energy above the most stable polymorph in this dataset: 0 meV per atom
* VASP energy: -22.7 eV/cell
* magnetic moment: 0.00 μB/cell



Record 8
Material: Na6CdHg6
Method: DFT, PBE
State: optimized geometry

a b c (Å): 6.228 6.228 10.912
angles (deg): 90.00 90.00 120.00
Sites, in units of the cell vectors:
1 Hg 0.500 0.000 0.752
2 Hg 0.000 0.500 0.752
3 Na 0.667 0.333 0.500
4 Hg 0.500 0.500 0.752
5 Na 0.000 0.000 0.681
6 Na 0.333 0.667 0.500
7 Na 0.000 0.000 0.319
8 Hg 0.500 0.000 0.248
9 Na 0.333 0.667 0.000
10 Hg 0.500 0.500 0.248
11 Hg 0.000 0.500 0.248
12 Cd 0.000 0.000 0.000
13 Na 0.667 0.333 0.000

Summary:
* volume: 366.5 Å³/f.u.
* VASP energy: -12.8 eV/cell
* magnetic moment: 0.00 μB/cell



Record 9
Material: Mg2Mn2Zn
Method: DFT, PBE
State: optimized geometry

a b c (Å): 6.221 6.221 4.243
angles (deg): 90.00 90.00 90.00
Sites, in units of the cell vectors:
1 Zn 0.000 0.000 0.000
2 Mg 0.823 0.323 0.500
3 Mn 0.383 0.883 0.000
4 Mn 0.117 0.383 0.000
5 Mn 0.883 0.617 0.000
6 Zn 0.500 0.500 0.000
7 Mg 0.323 0.177 0.500
8 Mn 0.617 0.117 0.000
9 Mg 0.177 0.677 0.500
10 Mg 0.677 0.823 0.500

Summary:
* volume: 82.1 Å³/f.u.
* VASP energy: -42.6 eV/cell
* magnetic moment: 6.77 μB/cell



Record 10
Material: CeYCuOs
Method: DFT, PBE
State: optimized geometry

a b c (Å): 4.902 4.902 4.902
angles (deg): 60.00 60.00 60.00
Sites, in units of the cell vectors:
1 Ce 0.000 0.000 0.000
2 Cu 0.250 0.250 0.250
3 Os 0.750 0.750 0.750
4 Y 0.500 0.500 0.500

Summary:
* volume: 83.3 Å³/f.u.
* VASP energy: -28.4 eV/cell
* magnetic moment: 0.00 μB/cell



Record 11
Material: LaTl2S8
Method: DFT, PBE
State: optimized geometry

a b c (Å): 5.240 7.503 9.837
angles (deg): 62.66 74.91 57.78
Sites, in units of the cell vectors:
1 S 0.585 0.761 0.161
2 S 0.074 0.110 0.663
3 La 0.000 0.000 0.000
4 S 0.728 0.029 0.725
5 S 0.297 0.506 0.047
6 S 0.926 0.890 0.337
7 S 0.703 0.494 0.953
8 Tl 0.588 0.631 0.630
9 Tl 0.412 0.369 0.370
10 S 0.415 0.239 0.839
11 S 0.272 0.971 0.275

Summary:
* volume: 290.6 Å³/f.u.
* energy relative to the elements, uncorrected: -0.51 eV/atom
* VASP energy: -48.3 eV/cell
* magnetic moment: 0.00 μB/cell



Record 12
Material: ScSi4Hg
Method: DFT, PBE
State: optimized geometry

a b c (Å): 5.215 5.215 5.215
angles (deg): 60.00 60.00 60.00
Sites, in units of the cell vectors:
1 Si 0.375 0.875 0.375
2 Si 0.375 0.375 0.875
3 Hg 0.750 0.750 0.750
4 Si 0.375 0.375 0.375
5 Sc 0.000 0.000 0.000
6 Si 0.875 0.375 0.375

Summary:
* volume: 100.3 Å³/f.u.
* energy relative to the elements, uncorrected: 0.05 eV/atom
* VASP energy: -28.0 eV/cell
* magnetic moment: 0.00 μB/cell